Record 1
Entry from Alexandria: a relaxed structure of TiBeN (PBE).

Calculated values
M_tot = 0.0 μB per cell
calculated volume = 29 Å³ per cell
formation energy (no corrections) = -95 kJ/mol of atoms
total DFT energy (no corrections) = -7.633 eV per atom
space-group type = P4/mmm, No. 123
relative energy among the computed polymorphs = 67 meV per atom

Cell: 2.969 2.969 3.336 Å, 90.00 90.00 90.00°
Fractional coordinates of all 3 atoms:
Ti (0.000, 0.000, 0.000)
Be (0.500, 0.500, 0.500)
N (0.500, 0.500, 0.000)

=====

Record 2
Entry from Alexandria: a relaxed structure of TiBeN (PBE).

Calculated values
M_tot = 0.0 μB per cell
calculated volume = 55 Å³ per cell
formation energy (no corrections) = -88 kJ/mol of atoms
total DFT energy (no corrections) = -7.557 eV per atom
space-group type = Pmn2_1, No. 31
relative energy among the computed polymorphs = 143 meV per atom

Cell: 2.890 4.145 4.611 Å, 90.00 90.00 90.00°
Fractional coordinates of all 6 atoms:
Ti (0.000, 0.125, 0.000)
Ti (0.500, 0.875, 0.500)
Be (0.000, 0.373, 0.501)
Be (0.500, 0.627, 0.001)
N (0.000, 0.630, 0.796)
N (0.500, 0.370, 0.296)

=====

Record 3
Entry from Alexandria: a relaxed structure of Ti3BeN (PBE).

Calculated values
M_tot = 0.0 μB per cell
calculated volume = 126 Å³ per cell
formation energy (no corrections) = -83 kJ/mol of atoms
total DFT energy (no corrections) = -8.003 eV per atom
space-group type = Cmcm, No. 63
relative energy among the computed polymorphs = 0 meV per atom

Cell: 5.357 5.357 8.062 Å, 90.00 90.00 146.86°
Fractional coordinates of all 10 atoms:
Ti (0.054, 0.946, 0.750)
Ti (0.369, 0.631, 0.551)
Ti (0.369, 0.631, 0.949)
Ti (0.631, 0.369, 0.051)
Ti (0.631, 0.369, 0.449)
Ti (0.946, 0.054, 0.250)
Be (0.255, 0.745, 0.250)
Be (0.745, 0.255, 0.750)
N (0.000, 0.000, 0.000)
N (0.000, 0.000, 0.500)

=====

Record 4
Entry from Alexandria: a relaxed structure of TiBeN (PBE).

Calculated values
M_tot = 0.0 μB per cell
calculated volume = 72 Å³ per cell
formation energy (no corrections) = -46 kJ/mol of atoms
total DFT energy (no corrections) = -7.124 eV per atom
space-group type = R-3m, No. 166
relative energy among the computed polymorphs = 577 meV per atom

Cell: 7.621 7.621 7.621 Å, 25.47 25.47 25.47°
Fractional coordinates of all 6 atoms:
Ti (0.221, 0.221, 0.221)
Ti (0.779, 0.779, 0.779)
Be (0.354, 0.354, 0.354)
Be (0.646, 0.646, 0.646)
N (0.124, 0.124, 0.124)
N (0.876, 0.876, 0.876)

=====

Record 5
Entry from Alexandria: a relaxed structure of Ti2BeZnN (PBE).

Calculated values
M_tot = 0.0 μB per cell
calculated volume = 60 Å³ per cell
formation energy (no corrections) = -65 kJ/mol of atoms
total DFT energy (no corrections) = -6.493 eV per atom
space-group type = P4/mmm, No. 123

Cell: 4.185 4.185 3.437 Å, 90.00 90.00 90.00°
Fractional coordinates of all 5 atoms:
Ti (0.000, 0.500, 0.000)
Ti (0.500, 0.000, 0.000)
Be (0.000, 0.000, 0.500)
Zn (0.500, 0.500, 0.500)
N (0.000, 0.000, 0.000)

=====

Record 6
Entry from Alexandria: a relaxed structure of Be3TlN (PBE).

Calculated values
M_tot = 0.0 μB per cell
calculated volume = 54 Å³ per cell
formation energy (no corrections) = 31 kJ/mol of atoms
total DFT energy (no corrections) = -4.048 eV per atom
space-group type = Pm-3m, No. 221
relative energy among the computed polymorphs = 0 meV per atom

Cell: 3.781 3.781 3.781 Å, 90.00 90.00 90.00°
Fractional coordinates of all 5 atoms:
Be (0.000, 0.000, 0.500)
Be (0.000, 0.500, 0.000)
Be (0.500, 0.000, 0.000)
Tl (0.500, 0.500, 0.500)
N (0.000, 0.000, 0.000)

=====

Record 7
Entry from Alexandria: a relaxed structure of BeTl3N (PBE).

Calculated values
M_tot = 0.0 μB per cell
calculated volume = 123 Å³ per cell
formation energy (no corrections) = 105 kJ/mol of atoms
total DFT energy (no corrections) = -2.742 eV per atom
space-group type = Pm-3m, No. 221
relative energy among the computed polymorphs = 0 meV per atom

Cell: 4.968 4.968 4.968 Å, 90.00 90.00 90.00°
Fractional coordinates of all 5 atoms:
Be (0.000, 0.000, 0.000)
Tl (0.000, 0.500, 0.500)
Tl (0.500, 0.000, 0.500)
Tl (0.500, 0.500, 0.000)
N (0.500, 0.500, 0.500)

=====

Record 8
Entry from Alexandria: a relaxed structure of BeTl2N (PBE).

Calculated values
M_tot = 0.0 μB per cell
calculated volume = 336 Å³ per cell
formation energy (no corrections) = 92 kJ/mol of atoms
total DFT energy (no corrections) = -3.242 eV per atom
space-group type = I-42d, No. 122
relative energy among the computed polymorphs = 0 meV per atom

Cell: 5.942 5.942 9.509 Å, 90.00 90.00 90.00°
Fractional coordinates of all 16 atoms:
Be (0.000, 0.000, 0.000)
Be (0.000, 0.500, 0.250)
Be (0.500, 0.000, 0.750)
Be (0.500, 0.500, 0.500)
Tl (0.218, 0.250, 0.625)
Tl (0.250, 0.718, 0.875)
Tl (0.250, 0.782, 0.375)
Tl (0.282, 0.250, 0.125)
Tl (0.718, 0.750, 0.125)
Tl (0.750, 0.218, 0.375)
Tl (0.750, 0.282, 0.875)
Tl (0.782, 0.750, 0.625)
N (0.000, 0.000, 0.500)
N (0.000, 0.500, 0.750)
N (0.500, 0.000, 0.250)
N (0.500, 0.500, 0.000)

=====

Record 9
Entry from Alexandria: a relaxed structure of BeTlN3 (PBE).

Calculated values
M_tot = 2.8 μB per cell
calculated volume = 51 Å³ per cell
formation energy (no corrections) = 154 kJ/mol of atoms
total DFT energy (no corrections) = -4.616 eV per atom
space-group type = Pm-3m, No. 221

Cell: 3.699 3.699 3.699 Å, 90.00 90.00 90.00°
Fractional coordinates of all 5 atoms:
Be (0.000, 0.000, 0.000)
Tl (0.500, 0.500, 0.500)
N (0.000, 0.000, 0.500)
N (0.000, 0.500, 0.000)
N (0.500, 0.000, 0.000)

=====

Record 10
Entry from Alexandria: a relaxed structure of BeTlN2 (PBE).

Calculated values
M_tot = 0.0 μB per cell
calculated volume = 174 Å³ per cell
formation energy (no corrections) = 70 kJ/mol of atoms
total DFT energy (no corrections) = -4.964 eV per atom
space-group type = R-3m, No. 166
relative energy among the computed polymorphs = 264 meV per atom

Cell: 3.503 3.503 16.336 Å, 90.00 90.00 120.00°
Fractional coordinates of all 12 atoms:
Be (0.000, 0.000, 0.000)
Be (0.333, 0.667, 0.667)
Be (0.667, 0.333, 0.333)
Tl (0.000, 0.000, 0.500)
Tl (0.333, 0.667, 0.167)
Tl (0.667, 0.333, 0.833)
N (0.000, 0.000, 0.094)
N (0.000, 0.000, 0.906)
N (0.333, 0.667, 0.573)
N (0.333, 0.667, 0.761)
N (0.667, 0.333, 0.239)
N (0.667, 0.333, 0.427)

=====

Record 11
Entry from Alexandria: a relaxed structure of BeTl2N (PBE).

Calculated values
M_tot = 0.0 μB per cell
calculated volume = 294 Å³ per cell
formation energy (no corrections) = 132 kJ/mol of atoms
total DFT energy (no corrections) = -2.831 eV per atom
space-group type = Fm-3m, No. 225
relative energy among the computed polymorphs = 411 meV per atom

Cell: 6.648 6.648 6.648 Å, 90.00 90.00 90.00°
Fractional coordinates of all 16 atoms:
Be (0.000, 0.000, 0.000)
Be (0.000, 0.500, 0.500)
Be (0.500, 0.000, 0.500)
Be (0.500, 0.500, 0.000)
Tl (0.250, 0.250, 0.250)
Tl (0.250, 0.250, 0.750)
Tl (0.250, 0.750, 0.250)
Tl (0.250, 0.750, 0.750)
Tl (0.750, 0.250, 0.250)
Tl (0.750, 0.250, 0.750)
Tl (0.750, 0.750, 0.250)
Tl (0.750, 0.750, 0.750)
N (0.000, 0.000, 0.500)
N (0.000, 0.500, 0.000)
N (0.500, 0.000, 0.000)
N (0.500, 0.500, 0.500)

=====

Record 12
Entry from Alexandria: a relaxed structure of BeTlN3 (PBE).

Calculated values
M_tot = 3.2 μB per cell
calculated volume = 78 Å³ per cell
formation energy (no corrections) = 277 kJ/mol of atoms
total DFT energy (no corrections) = -3.346 eV per atom
space-group type = Pm-3m, No. 221

Cell: 4.278 4.278 4.278 Å, 90.00 90.00 90.00°
Fractional coordinates of all 5 atoms:
Be (0.000, 0.000, 0.000)
Tl (0.500, 0.500, 0.500)
N (0.000, 0.500, 0.500)
N (0.500, 0.000, 0.500)
N (0.500, 0.500, 0.000)

=====

Record 13
Entry from Alexandria: a relaxed structure of BeTlN2 (PBE).

Calculated values
M_tot = 0.0 μB per cell
calculated volume = 178 Å³ per cell
formation energy (no corrections) = 166 kJ/mol of atoms
total DFT energy (no corrections) = -3.961 eV per atom
space-group type = Fm-3m, No. 225
relative energy among the computed polymorphs = 1267 meV per atom

Cell: 5.623 5.623 5.623 Å, 90.00 90.00 90.00°
Fractional coordinates of all 16 atoms:
Be (0.000, 0.000, 0.000)
Be (0.000, 0.500, 0.500)
Be (0.500, 0.000, 0.500)
Be (0.500, 0.500, 0.000)
Tl (0.000, 0.000, 0.500)
Tl (0.000, 0.500, 0.000)
Tl (0.500, 0.000, 0.000)
Tl (0.500, 0.500, 0.500)
N (0.250, 0.250, 0.250)
N (0.250, 0.250, 0.750)
N (0.250, 0.750, 0.250)
N (0.250, 0.750, 0.750)
N (0.750, 0.250, 0.250)
N (0.750, 0.250, 0.750)
N (0.750, 0.750, 0.250)
N (0.750, 0.750, 0.750)